Entry 1:
A relaxed structure of LaTbPrDy. Source: Alexandria via LeMat-Bulk, functional GGA-PBE.

abc: 8.195 8.195 8.195
angles: 90.00 90.00 90.00
Space group F-43m (No. 216)
Unique sites:
1 La 0.000 0.000 0.000 (multiplicity 4)
2 Tb 0.250 0.250 0.750 (multiplicity 4)
3 Pr 0.000 0.000 0.500 (multiplicity 4)
4 Dy 0.250 0.250 0.250 (multiplicity 4)

Calculated total energy: -74.12 eV/cell
Energy above the lowest structure with this stoichiometry: 0.298 eV per formula unit
Crystal system: cubic
V: 34.4 A^3/atom
ρ: 7.26 Mg/m³
M_tot: 0.000 μB per cell
Density of states at the Fermi level: 7.53 states/eV/f.u.
Energy of formation from the pure elements: 39.5 kJ/mol of formula units

---

Entry 2:
A relaxed structure of Pu2Cd. Source: Alexandria via LeMat-Bulk, functional GGA-PBE.

abc: 8.594 8.594 8.594
angles: 90.00 90.00 90.00
Space group Fd-3m (No. 227, origin choice 2)
Unique sites:
1 Pu 0.000 0.000 0.000 (multiplicity 16)
2 Cd 0.125 0.125 0.625 (multiplicity 8)

Calculated total energy: -229.37 eV/cell
Crystal system: cubic
V: 26.4 A^3/atom
ρ: 12.57 Mg/m³
M_tot: 95.707 μB per cell
Density of states at the Fermi level: 11.92 states/eV/f.u.
Energy of formation from the pure elements: 87.6 kJ/mol of formula units

---

Entry 3:
A relaxed structure of TiTlCo3. Source: Alexandria via LeMat-Bulk, functional GGA-PBE.

abc: 4.338 4.338 4.338
angles: 90.00 90.00 90.00
Space group Pm-3m (No. 221)
Unique sites:
1 Ti 0.000 0.000 0.000 (multiplicity 1)
2 Tl 0.500 0.500 0.500 (multiplicity 1)
3 Co 0.000 0.000 0.500 (multiplicity 3)

Calculated total energy: -26.80 eV/cell
Energy above the lowest structure with this stoichiometry: 0.000 eV per formula unit
Crystal system: cubic
V: 16.3 A^3/atom
ρ: 8.73 Mg/m³
M_tot: 0.001 μB per cell
Density of states at the Fermi level: 1.72 states/eV/f.u.
Energy of formation from the pure elements: 461.1 kJ/mol of formula units

---

Entry 4:
A relaxed structure of BaTbTm. Source: Alexandria via LeMat-Bulk, functional GGA-PBE.

abc: 3.767 3.767 16.246
angles: 90.00 90.00 90.00
Space group I4mm (No. 107)
Unique sites:
1 Ba 0.000 0.000 0.000 (multiplicity 2)
2 Tb 0.000 0.000 0.317 (multiplicity 2)
3 Tm 0.000 0.000 0.682 (multiplicity 2)

Calculated total energy: -20.84 eV/cell
Crystal system: tetragonal
V: 38.4 A^3/atom
ρ: 6.70 Mg/m³
M_tot: 0.001 μB per cell
Density of states at the Fermi level: 5.45 states/eV/f.u.
Energy of formation from the pure elements: 58.4 kJ/mol of formula units

---

Entry 5:
A relaxed structure of PuUCl6. Source: Alexandria via LeMat-Bulk, functional GGA-PBE.

abc: 13.884 4.897 8.460
angles: 90.00 127.38 90.00
Space group C2/m (No. 12)
Unique sites:
1 Pu 0.000 0.000 0.000 (multiplicity 2)
2 U 0.000 0.500 0.500 (multiplicity 2)
3 Cl 0.065 0.500 0.235 (multiplicity 4)
4 Cl 0.066 0.000 0.729 (multiplicity 4)
5 Cl 0.245 0.500 0.747 (multiplicity 4)

Calculated total energy: -101.59 eV/cell
Energy above the lowest structure with this stoichiometry: 0.327 eV per formula unit
Crystal system: monoclinic
V: 28.6 A^3/atom
ρ: 5.05 Mg/m³
M_tot: 16.000 μB per cell
Density of states at the Fermi level: 18.80 states/eV/f.u.
E_form (uncorrected): -1.76 eV per atom

---

Entry 6:
A relaxed structure of ThUSbN2. Source: Alexandria via LeMat-Bulk, functional GGA-PBE.

abc: 3.946 3.946 12.771
angles: 90.00 90.00 90.00
Space group I4mm (No. 107)
Unique sites:
1 Th 0.000 0.000 0.000 (multiplicity 2)
2 U 0.000 0.000 0.315 (multiplicity 2)
3 Sb 0.000 0.000 0.662 (multiplicity 2)
4 N 0.000 0.500 0.396 (multiplicity 4)

Calculated total energy: -92.88 eV/cell
Crystal system: tetragonal
V: 19.9 A^3/atom
ρ: 10.35 Mg/m³
M_tot: 2.002 μB per cell
Density of states at the Fermi level: 3.56 states/eV/f.u.
E_form (uncorrected): -1.39 eV per atom

---

Entry 7:
A relaxed structure of KNa2TlIn. Source: Alexandria via LeMat-Bulk, functional GGA-PBE.

abc: 6.028 6.028 5.748
angles: 90.00 90.00 90.00
Space group P4/mmm (No. 123)
Unique sites:
1 K 0.000 0.000 0.000 (multiplicity 1)
2 Na 0.000 0.500 0.500 (multiplicity 2)
3 Tl 0.500 0.500 0.500 (multiplicity 1)
4 In 0.500 0.500 0.000 (multiplicity 1)

Calculated total energy: -8.60 eV/cell
Energy above the lowest structure with this stoichiometry: 0.035 eV per formula unit
Crystal system: tetragonal
V: 41.8 A^3/atom
ρ: 3.21 Mg/m³
M_tot: 0.000 μB per cell
Density of states at the Fermi level: 3.36 states/eV/f.u.
Energy of formation from the pure elements: 23.0 kJ/mol of formula units

---

Entry 8:
A relaxed structure of Pa6TlNi6. Source: Alexandria via LeMat-Bulk, functional GGA-PBE.

abc: 5.309 9.322 9.948
angles: 90.00 90.00 90.00
Space group Immm (No. 71)
Unique sites:
1 Pa 0.000 0.000 0.171 (multiplicity 4)
2 Pa 0.000 0.319 0.000 (multiplicity 4)
3 Pa 0.000 0.341 0.500 (multiplicity 4)
4 Tl 0.000 0.000 0.500 (multiplicity 2)
5 Ni 0.000 0.500 0.242 (multiplicity 4)
6 Ni 0.250 0.250 0.250 (multiplicity 8)

Calculated total energy: -192.37 eV/cell
Crystal system: orthorhombic
V: 18.9 A^3/atom
ρ: 13.11 Mg/m³
M_tot: 0.000 μB per cell
Density of states at the Fermi level: 18.72 states/eV/f.u.
Energy of formation from the pure elements: -207.7 kJ/mol of formula units

---

Entry 9:
A relaxed structure of PuTiPt. Source: Alexandria via LeMat-Bulk, functional GGA-PBE.

abc: 4.6724 4.6724 2.8909
angles: 90.00 90.00 120.00
Space group P3m1 (No. 156)
Unique sites:
1 Pu 0.0000 0.0000 0.0000 (multiplicity 1)
2 Ti 0.6667 0.3333 0.2545 (multiplicity 1)
3 Pt 0.3333 0.6667 0.6333 (multiplicity 1)

Calculated total energy: -29.34 eV/cell
Energy above the lowest structure with this stoichiometry: 0.222 eV per formula unit
Crystal system: trigonal
V: 18.2 A^3/atom
ρ: 14.79 Mg/m³
M_tot: 5.372 μB per cell
Density of states at the Fermi level: 4.42 states/eV/f.u.
Energy of formation from the pure elements: -103.7 kJ/mol of formula units